(1)
{
  "formula": "BC",
  "functional": "PBE",
  "state": "relaxed",
  "cell": [[7.354, -1.326, 0.000], [7.354, 1.326, 0.000], [-0.945, 0.000, 3.663]],
  "species": ["B", "B", "B", "B", "B", "C", "C", "C", "C", "C"],
  "fractional_positions": [[0.000, 0.000, 0.000], [0.096, 0.096, 0.788], [0.238, 0.238, 0.318], [0.389, 0.389, 0.463], [0.544, 0.544, 0.298], [0.312, 0.312, 0.081], [0.629, 0.629, 0.645], [0.720, 0.720, 0.511], [0.813, 0.813, 0.859], [0.905, 0.905, 0.695]],
  "spacegroup": "Cm",
  "polymorph_energy_mev_per_atom": 241,
  "formation_enthalpy_0k_kcal_per_mol_atoms": 9.03,
  "dos_ef_per_ev_fu": 0.19
}

---

(2)
{
  "formula": "B3C",
  "functional": "PBE",
  "state": "relaxed",
  "cell": [[4.992, 0.000, 0.000], [0.000, 2.735, 0.000], [-0.261, 0.000, 7.017]],
  "species": ["B", "B", "B", "B", "B", "B", "B", "B", "B", "C", "C", "C"],
  "fractional_positions": [[0.000, 0.000, 0.000], [0.000, 0.500, 0.410], [0.032, 0.000, 0.250], [0.103, 0.500, 0.847], [0.225, 0.500, 0.618], [0.282, 0.000, 0.404], [0.649, 0.500, 0.013], [0.803, 0.500, 0.226], [0.853, 0.500, 0.627], [0.414, 0.000, 0.597], [0.676, 0.000, 0.905], [0.691, 0.000, 0.687]],
  "spacegroup": "Pm",
  "polymorph_energy_mev_per_atom": 229,
  "formation_enthalpy_0k_kcal_per_mol_atoms": 10.83,
  "dos_ef_per_ev_fu": 0.35
}

---

(3)
{
  "formula": "BC",
  "functional": "PBE",
  "state": "relaxed",
  "cell": [[2.646, 0.000, 0.000], [-1.323, 2.292, 0.000], [0.000, 0.000, 14.959]],
  "species": ["B", "B", "B", "B", "B", "B", "C", "C", "C", "C", "C", "C"],
  "fractional_positions": [[0.000, 0.000, 0.000], [0.000, 0.000, 0.113], [0.333, 0.667, 0.566], [0.333, 0.667, 0.815], [0.667, 0.333, 0.403], [0.667, 0.333, 0.927], [0.000, 0.000, 0.449], [0.000, 0.000, 0.553], [0.333, 0.667, 0.160], [0.333, 0.667, 0.260], [0.667, 0.333, 0.296], [0.667, 0.333, 0.822]],
  "spacegroup": "P3m1",
  "polymorph_energy_mev_per_atom": 221,
  "formation_enthalpy_0k_kcal_per_mol_atoms": 8.57,
  "dos_ef_per_ev_fu": 0.08
}